! GGA-PBE Pm8Ir2Pd, optimized geometry; values from VASP
&SYSTEM
  ibrav = 0, nat = 11, ntyp = 3
/
ATOMIC_SPECIES
Pm 145.00 Pm.upf
Ir 192.22 Ir.upf
Pd 106.42 Pd.upf
CELL_PARAMETERS angstrom
-0.352 -1.540 -6.114
3.112 -6.374 2.801
-7.423 0.499 1.676
ATOMIC_POSITIONS crystal
Pm 0.594 0.345 0.079
Pm 0.594 0.079 0.345
Pm 0.181 0.368 0.368
Pm 0.982 0.214 0.784
Pm 0.982 0.784 0.214
Pm 0.790 0.643 0.643
Pm 0.366 0.925 0.657
Pm 0.366 0.657 0.925
Ir 0.489 0.690 0.318
Ir 0.489 0.318 0.690
Pd 0.166 0.011 0.011
! VASP energy: -65.0 eV for the cell shown
! SG: No. 8
! Formation enthalpy at 0 K: -0.371 eV/atom
! Total magnetic moment: 0.00 μB per formula unit
! Fermi-level density of states: 11.3 states/eV/f.u.